The following is a GGA-PBE calculation of an optimized crystal structure of Mg2ZrGeN4, from Alexandria.

Results
For the density of states at the Fermi level, the calculation gives 0.000 states/eV/atom. For the formation energy from raw total energies, the calculation gives -6.989 eV per formula unit.

Unit cell a=5.2772 b=5.9001 c=6.7958 alpha=90.00 beta=90.00 gamma=90.00
Fractional coordinates of all 16 atoms:
1 Mg 0.4902 0.3342 0.2516
2 Mg 0.4902 0.3342 0.7484
3 Mg 0.9902 0.6658 0.7516
4 Mg 0.9902 0.6658 0.2484
5 Zr 0.9904 0.1553 0.5000
6 Zr 0.4904 0.8447 0.0000
7 Ge 0.4988 0.8260 0.5000
8 Ge 0.9988 0.1740 0.0000
9 N 0.3562 0.1734 0.0000
10 N 0.8562 0.8266 0.5000
11 N 0.3878 0.1345 0.5000
12 N 0.8878 0.8655 0.0000
13 N 0.3931 0.6798 0.7337
14 N 0.8931 0.3202 0.2337
15 N 0.8931 0.3202 0.7663
16 N 0.3931 0.6798 0.2663